First-principles (PBE) data for an optimized crystal structure of Fe3Ni2, as listed in the Alexandria database.

Output
- SG = No. 53
- E_tot (eV per cell) = -73.66
- DFT formation energy (eV per atom) = 0.02

a = 4.067 Å, b = 2.477 Å, c = 11.475 Å
α = 90.00°, β = 90.00°, γ = 90.00°
Positions (direct):
Fe: 0.000 0.000 0.000
Fe: 0.000 0.296 0.394
Fe: 0.000 0.704 0.606
Fe: 0.500 0.000 0.500
Fe: 0.500 0.296 0.106
Fe: 0.500 0.704 0.894
Ni: 0.000 0.273 0.805
Ni: 0.000 0.727 0.195
Ni: 0.500 0.273 0.695
Ni: 0.500 0.727 0.305